AcHoGaPd after structural relaxation, computed with GGA-PBE.

formation energy from the elements: -0.56 eV/atom

Structure (CIF):
```
data_AcHoGaPd
_space_group_name_H-M_alt 'F -4 3 m'
_space_group_IT_number 216
_space_group_name_Hall 'F -4 2 3'
_cell_length_a 7.432
_cell_length_b 7.432
_cell_length_c 7.432
_cell_angle_alpha 90.00
_cell_angle_beta 90.00
_cell_angle_gamma 90.00
loop_
_atom_site_label
_atom_site_type_symbol
_atom_site_fract_x
_atom_site_fract_y
_atom_site_fract_z
Ac1 Ac 0.000 0.000 0.000
Ho1 Ho 0.000 0.000 0.500
Ga1 Ga 0.250 0.250 0.750
Pd1 Pd 0.250 0.250 0.250
```